[1]
The following is a PBE calculation of crystalline SrPBr2 at its relaxed geometry, from the Alexandria database.

As for the relative energy among the computed polymorphs: 0.68 eV per formula unit. The value obtained for the uncorrected formation energy is -0.7102 eV per atom.

It has space group C2/m (No. 12), with a = 6.964 Å, b = 8.858 Å, c = 5.266 Å, α = 90.00°, β = 131.20° and γ = 90.00°. The asymmetric unit holds Sr at (0.000, 0.000, 0.000), P at (0.000, 0.500, 0.000) and Br at (0.250, 0.250, 0.500).

***

[2]
The following is a PBE calculation of crystalline CsPd2F8 at its relaxed geometry, from the Alexandria database.

The value obtained for the uncorrected formation energy is -1.2684 eV per atom.

It has space group P4/mmm (No. 123), with a = 5.121 Å, b = 5.121 Å, c = 7.260 Å, α = 90.00°, β = 90.00° and γ = 90.00°. The asymmetric unit holds Cs at (0.000, 0.000, 0.000), Pd at (0.000, 0.500, 0.500) and F at (0.251, 0.251, 0.337).

***

[3]
The following is a PBE calculation of crystalline Fe2CoAsH at its relaxed geometry, from the Alexandria database.

It has space group P4/mmm (No. 123), with a = 3.598 Å, b = 3.598 Å, c = 3.623 Å, α = 90.00°, β = 90.00° and γ = 90.00°. The asymmetric unit holds Fe at (0.000, 0.500, 0.000), Co at (0.000, 0.000, 0.500), As at (0.500, 0.500, 0.500) and H at (0.000, 0.000, 0.000).

***

[4]
The following is a PBE calculation of crystalline Li2AlW at its relaxed geometry, from the Alexandria database.

As for the formation energy: 0.2670 eV per atom.

It has space group R-3m (No. 166, hexagonal axes), with a = 2.7425 Å, b = 2.7425 Å, c = 28.9510 Å, α = 90.00°, β = 90.00° and γ = 120.00°. The asymmetric unit holds Li at (0.0000, 0.0000, 0.2488), Al at (0.0000, 0.0000, 0.5000) and W at (0.0000, 0.0000, 0.0000).

***

| no. | E (eV for the cell shown) |
| --- | --- |
| 1 | -26.6 |
| 2 | -40.2 |
| 3 | -31.9 |
| 4 | -58.4 |